Record 1
A plane-wave DFT calculation with PBE-GGA was carried out for a relaxed structure of PrSc2V.

Summary:
The calculation puts the total energy at -72.618 eV for the cell shown. For the total magnetization, the calculation gives 2.74 μB/f.u.

a = 3.2410 Å, b = 3.2410 Å, c = 32.8280 Å
α = 90.00°, β = 90.00°, γ = 120.00°
With the nearest neighbours (Å) after each atom.
Space group R-3m (No. 166, hexagonal axes)
Inequivalent atoms, fractional coordinates:
1 Pr 0.0000 0.0000 0.0000 x3  6 Pr 3.24, 6 Sc 3.43
2 Sc 0.0000 0.0000 0.4209 x6  1 V 2.60
3 V 0.0000 0.0000 0.5000 x3  2 Sc 2.60


Record 2
A plane-wave DFT calculation with PBE-GGA was carried out for a relaxed structure of Er4Sb2AsS.

Summary:
The calculation puts the total energy at -46.454 eV for the cell shown. For the total magnetization, the calculation gives 0.00 μB/f.u.

a = 7.1925 Å, b = 4.1595 Å, c = 7.2547 Å
α = 90.00°, β = 109.28°, γ = 90.00°
With the nearest neighbours (Å) after each atom.
Space group P2/m (No. 10)
Inequivalent atoms, fractional coordinates:
1 Er 0.2440 0.0000 0.2311 x2  1 S 2.87, 2 As 2.88, 3 Sb 3.02
2 Er 0.2562 0.5000 0.7687 x2  1 As 2.87, 2 S 2.88, 3 Sb 3.02
3 Sb 0.0000 0.0000 0.5000 x1  6 Er 3.02
4 Sb 0.5000 0.5000 0.5000 x1  6 Er 3.02
5 As 0.0000 0.5000 0.0000 x1  6 Er 2.87-2.88
6 S 0.5000 0.0000 0.0000 x1  6 Er 2.87-2.88


Record 3
A plane-wave DFT calculation with PBE-GGA was carried out for a relaxed structure of NiSb2P6.

Summary:
The calculation puts the total energy at -82.154 eV for the cell shown. For the total magnetization, the calculation gives 0.01 μB/f.u.

a = 5.8077 Å, b = 5.8077 Å, c = 11.7032 Å
α = 90.00°, β = 90.00°, γ = 90.00°
With the nearest neighbours (Å) after each atom.
Space group P4_2/mnm (No. 136)
Inequivalent atoms, fractional coordinates:
1 Ni 0.0000 0.0000 0.0000 x2  6 P 2.23-2.24
2 Sb 0.0000 0.0000 0.3368 x4  6 P 2.62-2.70
3 P 0.1718 0.1718 0.1482 x8  1 Ni 2.24
4 P 0.2286 0.2286 0.5000 x4  1 Ni 2.23


Record 4
A plane-wave DFT calculation with PBE-GGA was carried out for a relaxed structure of Hf8SnP2.

Summary:
The calculation puts the total energy at -199.935 eV for the cell shown. For the total magnetization, the calculation gives 0.00 μB/f.u.

a = 7.9809 Å, b = 11.7639 Å, c = 4.9937 Å
α = 90.00°, β = 104.81°, γ = 90.00°
With the nearest neighbours (Å) after each atom.
Space group C2/m (No. 12)
Inequivalent atoms, fractional coordinates:
1 Hf 0.0000 0.2481 0.0000 x4  2 P 2.60
2 Hf 0.1083 0.0000 0.8128 x4  2 P 2.70, 1 Hf 2.85, 1 Sn 3.03
3 Hf 0.2034 0.3736 0.5887 x8  2 P 2.61-2.70
4 Sn 0.0000 0.5000 0.0000 x2  8 Hf 2.96-3.28
5 P 0.0000 0.1866 0.5000 x4  8 Hf 2.60-2.70


Record 5
A plane-wave DFT calculation with PBE-GGA was carried out for a relaxed structure of In12Hg5P3.

Summary:
The calculation puts the total energy at -379.113 eV for the cell shown. For the total magnetization, the calculation gives 0.00 μB/f.u.

a = 16.8694 Å, b = 16.8694 Å, c = 16.8694 Å
α = 90.00°, β = 90.00°, γ = 90.00°
With the nearest neighbours (Å) after each atom.
Space group Ia-3d (No. 230)
Inequivalent atoms, fractional coordinates:
1 In 0.0192 0.0872 0.6494 x96  1 P 2.79, 2 Hg 2.87-2.94, 1 In 3.13
2 Hg 0.0000 0.0000 0.0000 x16  6 In 2.94
3 Hg 0.0000 0.2500 0.3750 x24  4 In 2.87
4 P 0.0000 0.2500 0.1250 x24  4 In 2.79


Record 6
A plane-wave DFT calculation with PBE-GGA was carried out for a relaxed structure of LaSiAg2.

Summary:
The calculation puts the total energy at -33.692 eV for the cell shown. For the total magnetization, the calculation gives 0.00 μB/f.u.

a = 4.9701 Å, b = 4.9701 Å, c = 7.0643 Å
α = 90.00°, β = 90.00°, γ = 90.00°
With the nearest neighbours (Å) after each atom.
Space group I-4m2 (No. 119)
Inequivalent atoms, fractional coordinates:
1 La 0.0000 0.0000 0.0000 x2  4 Si 3.05, 4 Ag 3.05
2 Si 0.0000 0.5000 0.7500 x2  4 Ag 3.05, 4 La 3.05
3 Ag 0.0000 0.0000 0.5000 x2  4 Si 3.05, 4 Ag 3.05
4 Ag 0.0000 0.5000 0.2500 x2  4 La 3.05, 4 Ag 3.05


Record 7
A plane-wave DFT calculation with PBE-GGA was carried out for a relaxed structure of ZnMoAu.

Summary:
The calculation puts the total energy at -60.268 eV for the cell shown. For the total magnetization, the calculation gives 0.00 μB/f.u.

a = 2.7108 Å, b = 16.5475 Å, c = 4.2791 Å
α = 90.00°, β = 90.00°, γ = 90.00°
With the nearest neighbours (Å) after each atom.
Space group Cmcm (No. 63)
Inequivalent atoms, fractional coordinates:
1 Zn 0.0000 0.0448 0.2500 x4  4 Zn 2.60-2.71, 1 Mo 2.77, 4 Au 2.78
2 Mo 0.0000 0.2122 0.2500 x4  6 Mo 2.71-2.83, 1 Zn 2.77, 5 Au 2.87-3.01
3 Au 0.0000 0.3857 0.2500 x4  2 Au 2.71, 6 Zn 2.78-2.96, 5 Mo 2.87-3.01


Record 8
A plane-wave DFT calculation with PBE-GGA was carried out for a relaxed structure of RbB3P.

Summary:
The calculation puts the total energy at -105.231 eV for the cell shown. For the total magnetization, the calculation gives 0.00 μB/f.u.

a = 4.4983 Å, b = 6.2330 Å, c = 14.1043 Å
α = 90.00°, β = 90.00°, γ = 90.00°
With the nearest neighbours (Å) after each atom.
Space group Imm2 (No. 44)
Inequivalent atoms, fractional coordinates:
1 Rb 0.0000 0.0000 0.0000 x2  8 B 3.46-3.51, 6 P 3.64-3.84
2 Rb 0.0000 0.5000 0.2090 x2  6 B 3.23-3.44
3 B 0.0000 0.1598 0.3816 x4  4 B 1.78-1.79
4 B 0.1862 0.0000 0.2942 x4  4 B 1.68-1.79
5 B 0.1868 0.5000 0.9112 x4  4 B 1.68-1.78
6 P 0.0000 0.0000 0.5070 x2  4 B 1.95-2.03
7 P 0.0000 0.5000 0.7033 x2  2 B 1.91